[1]
PBE H2SeCl, optimized geometry; V = 15.30 Å³ per atom; energy above the lowest structure with this stoichiometry = 178 kJ/mol of formula units; uncorrected energy = -2.79 eV per atom; SG = I4_1/amd
1.0
-2.6329 2.6329 4.4154
2.6329 -2.6329 4.4154
2.6329 2.6329 -4.4154
H Se Cl
4 2 2
direct
0.0000 0.0000 0.0000
0.0000 0.0000 0.5000
0.0000 0.5000 0.0000
0.5000 0.0000 0.5000
0.1250 0.8750 0.2500
0.8750 0.1250 0.7500
0.3750 0.6250 0.7500
0.6250 0.3750 0.2500


[2]
PBE Li8Mg3Ag4, optimized geometry; V = 17.96 Å³ per atom; ΔE_f = -2.2 eV/f.u.; uncorrected energy = -2.25 eV per atom; SG = Fm-3m
1.0
0.0000 6.4587 6.4587
6.4587 0.0000 6.4587
6.4587 6.4587 0.0000
Li Mg Ag
16 6 8
direct
0.0276 0.6575 0.6575
0.1196 0.1196 0.1196
0.1196 0.1196 0.6413
0.1196 0.6413 0.1196
0.3425 0.3425 0.3425
0.3425 0.3425 0.9724
0.3425 0.9724 0.3425
0.3587 0.8804 0.8804
0.6413 0.1196 0.1196
0.6575 0.0276 0.6575
0.6575 0.6575 0.0276
0.6575 0.6575 0.6575
0.8804 0.3587 0.8804
0.8804 0.8804 0.3587
0.8804 0.8804 0.8804
0.9724 0.3425 0.3425
0.2827 0.2827 0.7173
0.2827 0.7173 0.2827
0.2827 0.7173 0.7173
0.7173 0.2827 0.2827
0.7173 0.2827 0.7173
0.7173 0.7173 0.2827
0.0000 0.0000 0.0000
0.0000 0.0000 0.5000
0.0000 0.5000 0.0000
0.0000 0.5000 0.5000
0.5000 0.0000 0.0000
0.5000 0.0000 0.5000
0.5000 0.5000 0.0000
0.5000 0.5000 0.5000